Entry 1:
An optimized crystal structure of SrCaSi, computed with PBE-GGA.

Geometry as CIF:
```
data_SrCaSi
_chemical_formula_sum 'Sr2 Ca2 Si2'
_cell_length_a 5.2459
_cell_length_b 5.2459
_cell_length_c 7.3714
_cell_angle_alpha 90.00
_cell_angle_beta 90.00
_cell_angle_gamma 120.00
_symmetry_space_group_name_H-M 'P 3 m 1'
_symmetry_Int_Tables_number 156
loop_
_symmetry_equiv_pos_as_xyz
'x,y,z'
'-y,x-y,z'
'-x+y,-x,z'
'-y,-x,z'
'-x+y,y,z'
'x,x-y,z'
loop_
_atom_site_label
_atom_site_type_symbol
_atom_site_fract_x
_atom_site_fract_y
_atom_site_fract_z
Sr1 Sr 0.0000 0.0000 0.0000
Sr2 Sr 0.3333 0.6667 0.7318
Ca1 Ca 0.0000 0.0000 0.4945
Ca2 Ca 0.6667 0.3333 0.2782
Si1 Si 0.3333 0.6667 0.2480
Si2 Si 0.6667 0.3333 0.7178
```

Properties
Density (Mg/m³): 2.94
Magnetic moment (μB/atom): 0.000
Calculated total energy (eV/atom): -3.376
Calculated volume (Å³ per atom): 29.28



Entry 2:
An optimized crystal structure of SrCa2Si2, computed with PBE-GGA.

Geometry as CIF:
```
data_SrCa2Si2
_chemical_formula_sum 'Sr2 Ca4 Si4'
_cell_length_a 5.325
_cell_length_b 4.455
_cell_length_c 12.281
_cell_angle_alpha 90.00
_cell_angle_beta 95.94
_cell_angle_gamma 90.00
_symmetry_space_group_name_H-M 'P 1 21/m 1'
_symmetry_Int_Tables_number 11
loop_
_symmetry_equiv_pos_as_xyz
'x,y,z'
'-x,-y,-z'
'-x,y+1/2,-z'
'x,-y+1/2,z'
loop_
_atom_site_label
_atom_site_type_symbol
_atom_site_fract_x
_atom_site_fract_y
_atom_site_fract_z
Sr1 Sr 0.159 0.250 0.241
Ca1 Ca 0.249 0.750 0.490
Ca2 Ca 0.353 0.250 0.884
Si1 Si 0.123 0.750 0.015
Si2 Si 0.283 0.250 0.648
```

Properties
Density (Mg/m³): 2.57
Magnetic moment (μB/atom): 0.000
Calculated total energy (eV/atom): -3.653
Calculated volume (Å³ per atom): 28.98



Entry 3:
An optimized crystal structure of SrCaSi, computed with PBE-GGA.

Geometry as CIF:
```
data_SrCaSi
_chemical_formula_sum 'Sr2 Ca2 Si2'
_cell_length_a 5.229
_cell_length_b 5.229
_cell_length_c 7.393
_cell_angle_alpha 90.00
_cell_angle_beta 90.00
_cell_angle_gamma 90.00
_symmetry_space_group_name_H-M 'P 4/n m m'
_symmetry_Int_Tables_number 129
loop_
_symmetry_equiv_pos_as_xyz
'x,y,z'
'-x,-y,-z'
'-y+1/2,x,z'
'y+1/2,-x,-z'
'-x+1/2,-y+1/2,z'
'x+1/2,y+1/2,-z'
'y,-x+1/2,z'
'-y,x+1/2,-z'
'x+1/2,-y,-z'
'-x+1/2,y,z'
'-y,-x,-z'
'y,x,z'
'-x,y+1/2,-z'
'x,-y+1/2,z'
'y+1/2,x+1/2,-z'
'-y+1/2,-x+1/2,z'
loop_
_atom_site_label
_atom_site_type_symbol
_atom_site_fract_x
_atom_site_fract_y
_atom_site_fract_z
Sr1 Sr 0.250 0.750 0.000
Ca1 Ca 0.250 0.750 0.500
Si1 Si 0.250 0.250 0.264
```

Properties
Density (Mg/m³): 2.56
Magnetic moment (μB/atom): 0.000
Calculated total energy (eV/atom): -3.422
Calculated volume (Å³ per atom): 33.69